[1]
This record from the Alexandria database describes TiTe2O2 after structural relaxation. The functional is GGA-PBE.

Summary:
The energy relative to the elements, uncorrected comes out at -1001 meV/atom. Its energy above the most stable polymorph in this dataset is 0.000 eV per atom. As for the uncorrected energy: -58.20 eV per cell. As for the space group: No. 123. The calculation puts the density at 4.7 g cm⁻³.

abc: 5.611 5.611 7.532
angles: 90.00 90.00 90.00
Sites, in units of the cell vectors:
1 Te 0.250 0.750 0.500
2 Te 0.750 0.750 0.500
3 Te 0.750 0.250 0.500
4 Te 0.250 0.250 0.500
5 O 0.250 0.750 0.000
6 O 0.750 0.750 0.000
7 O 0.750 0.250 0.000
8 O 0.250 0.250 0.000
9 Ti 0.000 0.000 0.000
10 Ti 0.500 0.500 0.000

---

[2]
This record from the Alexandria database describes KOsRu3 after structural relaxation. The functional is GGA-PBE.

Summary:
Its energy above the most stable polymorph in this dataset is 0.000 eV per atom. As for the uncorrected energy: -32.65 eV per cell. Its formation energy from the elements is 34.6 kcal/mol of atoms. As for the space group: No. 221. The calculation puts the density at 8.1 g cm⁻³.

abc: 4.788 4.788 4.788
angles: 90.00 90.00 90.00
Sites, in units of the cell vectors:
1 Ru 0.000 0.500 0.000
2 Ru 0.000 0.000 0.500
3 Ru 0.500 0.000 0.000
4 K 0.500 0.500 0.500
5 Os 0.000 0.000 0.000

---

[3]
This record from the Alexandria database describes BaMg after structural relaxation. The functional is GGA-PBE.

Summary:
As for the uncorrected energy: -12.71 eV per cell. Its formation energy from the elements is 3.9 kcal/mol of atoms. As for the space group: No. 136. The calculation puts the density at 2.9 g cm⁻³.

abc: 7.189 7.189 7.282
angles: 90.00 90.00 90.00
Sites, in units of the cell vectors:
1 Ba 0.194 0.194 0.000
2 Ba 0.694 0.306 0.500
3 Ba 0.306 0.694 0.500
4 Ba 0.806 0.806 0.000
5 Mg 0.330 0.670 0.000
6 Mg 0.830 0.830 0.500
7 Mg 0.170 0.170 0.500
8 Mg 0.670 0.330 0.000

---

[4]
This record from the Alexandria database describes AuIN2 after structural relaxation. The functional is GGA-PBE.

Summary:
The energy relative to the elements, uncorrected comes out at 1518 meV/atom. Its energy above the most stable polymorph in this dataset is 1.437 eV per atom. As for the uncorrected energy: -15.40 eV per cell. As for the space group: No. 166. The calculation puts the density at 8.5 g cm⁻³.

abc: 6.471 6.471 6.471
angles: 32.25 32.25 32.25
Sites, in units of the cell vectors:
1 I 0.500 0.500 0.500
2 Au 0.000 0.000 0.000
3 N 0.891 0.891 0.891
4 N 0.109 0.109 0.109